## Cs2NaPrBr6 (SCAN)

Data for a crystal of Cs2NaPrBr6 relaxed with PBEsol.

Values from the calculation:
Calculated density = 4.05 g cm⁻³
Uncorrected energy = -26.036 eV/atom
Volume = 37.29 A^3/atom
Crystal system = cubic
Total magnetic moment = 0.0 μB/cell

Lattice parameters (Å, degrees): 8.079 8.079 8.079 60.00 60.00 60.00
Atoms (fractional coordinates):
Cs  0.250  0.250  0.250
Cs  0.750  0.750  0.750
Na  0.000  0.000  0.000
Pr  0.500  0.500  0.500
Br  0.250  0.250  0.750
Br  0.250  0.750  0.250
Br  0.250  0.750  0.750
Br  0.750  0.250  0.250
Br  0.750  0.250  0.750
Br  0.750  0.750  0.250